(1)
Below is an optimized crystal structure of Ge3RuCl, with properties calculated at the PBE level.

Cell: 4.840 4.840 4.840 Å, 90.00 90.00 90.00°
Last column: magnetic moment on the atom in μB.
Atoms (fractional coordinates):
Ru1 0.500 0.500 0.500  2.06
Ge1 0.000 0.500 0.000  -0.01
Ge2 0.000 0.000 0.500  0.01
Ge3 0.500 0.000 0.000  0.04
Cl1 0.000 0.000 0.000  0.01

Computed properties:
The value obtained for the magnetization is 2.4 Bohr magnetons per cell. The calculated density comes out at 5.19 g/cm³.

---

(2)
Below is an optimized crystal structure of Ge3RuCl, with properties calculated at the PBE level.

Cell: 4.809 4.809 4.809 Å, 90.00 90.00 90.00°
Atoms (fractional coordinates):
Ru1 0.000 0.000 0.000
Ge1 0.000 0.500 0.000
Ge2 0.000 0.000 0.500
Ge3 0.500 0.000 0.000
Cl1 0.500 0.500 0.500

Computed properties:
The value obtained for the magnetization is 0.0 Bohr magnetons per cell. The calculated density comes out at 5.29 g/cm³.

---

Which one sits at the top of the stability order? (2) does.

---

(1)
Below is an optimized crystal structure of GeRuSCl2, with properties calculated at the PBE level.

Cell: 4.915 4.915 4.879 Å, 90.00 90.00 90.00°
Last column: magnetic moment on the atom in μB.
Atoms (fractional coordinates):
Ru1 0.500 0.500 0.500  2.89
Ge1 0.000 0.000 0.000  0.00
S1 0.000 0.000 0.500  0.08
Cl1 0.000 0.500 0.000  0.04
Cl2 0.500 0.000 0.000  0.04

Computed properties:
The value obtained for the magnetization is 3.4 Bohr magnetons per cell. The calculated density comes out at 3.90 g/cm³.

---

(2)
Below is an optimized crystal structure of GeRuSCl2, with properties calculated at the PBE level.

Cell: 4.831 4.831 4.545 Å, 90.00 90.00 90.00°
Atoms (fractional coordinates):
Ru1 0.000 0.000 0.000
Ge1 0.500 0.500 0.500
S1 0.000 0.000 0.500
Cl1 0.000 0.500 0.000
Cl2 0.500 0.000 0.000

Computed properties:
The value obtained for the magnetization is 0.0 Bohr magnetons per cell. The calculated density comes out at 4.33 g/cm³.

---

Which one sits at the top of the stability order? (2) does.

---

(1)
Below is an optimized crystal structure of Ge2S2Cl, with properties calculated at the PBE level.

Cell: 4.656 4.656 6.175 Å, 67.85 67.85 90.00°
Atoms (fractional coordinates):
Ge1 0.750 0.250 0.500
Ge2 0.250 0.750 0.500
S1 0.341 0.341 0.318
S2 0.659 0.659 0.682
Cl1 0.000 0.000 0.000

Computed properties:
The value obtained for the magnetization is 0.0 Bohr magnetons per cell. The calculated density comes out at 3.59 g/cm³.

---

(2)
Below is an optimized crystal structure of Ge2S2Cl, with properties calculated at the PBE level.

Cell: 4.476 4.476 6.935 Å, 106.94 106.94 101.82°
Atoms (fractional coordinates):
Ge1 0.508 0.508 0.254
Ge2 0.492 0.492 0.746
S1 0.251 0.749 0.500
S2 0.749 0.251 0.500
Cl1 0.000 0.000 0.000

Computed properties:
The value obtained for the magnetization is 0.0 Bohr magnetons per cell. The calculated density comes out at 3.37 g/cm³.

---

Which one sits at the top of the stability order? (2) does.

---

(1)
Below is an optimized crystal structure of Ge3S2Cl2, with properties calculated at the PBE level.

Cell: 3.769 6.132 7.902 Å, 104.08 103.80 90.00°
Atoms (fractional coordinates):
Ge1 0.000 0.000 0.000
Ge2 0.746 0.752 0.492
Ge3 0.254 0.248 0.508
S1 0.842 0.143 0.685
S2 0.158 0.857 0.315
Cl1 0.582 0.286 0.164
Cl2 0.418 0.714 0.836

Computed properties:
The value obtained for the magnetization is 0.0 Bohr magnetons per cell. The calculated density comes out at 3.41 g/cm³.

---

(2)
Below is an optimized crystal structure of Ge3S2Cl2, with properties calculated at the PBE level.

Cell: 7.261 7.031 7.740 Å, 90.00 64.38 90.00°
Atoms (fractional coordinates):
Ge1 0.500 0.500 0.000
Ge2 0.000 0.000 0.000
Ge3 0.754 0.046 0.680
Ge4 0.746 0.546 0.320
Ge5 0.254 0.454 0.680
Ge6 0.246 0.954 0.320
S1 0.609 0.375 0.628
S2 0.891 0.875 0.372
S3 0.109 0.125 0.628
S4 0.391 0.625 0.372
Cl1 0.834 0.709 0.898
Cl2 0.334 0.791 0.898
Cl3 0.666 0.209 0.102
Cl4 0.166 0.291 0.102

Computed properties:
The value obtained for the magnetization is 0.0 Bohr magnetons per cell. The calculated density comes out at 3.29 g/cm³.

---

Which one sits at the top of the stability order? (1) does.

---

(1)
Below is an optimized crystal structure of GeSbS2Cl, with properties calculated at the PBE level.

Cell: 5.150 5.150 5.047 Å, 90.00 90.00 90.00°
Last column: magnetic moment on the atom in μB.
Atoms (fractional coordinates):
Sb1 0.000 0.000 0.000  0.00
Ge1 0.500 0.500 0.500  0.10
S1 0.000 0.500 0.000  -0.02
S2 0.500 0.000 0.000  -0.02
Cl1 0.000 0.000 0.500  0.00

Computed properties:
The value obtained for the magnetization is 0.2 Bohr magnetons per cell. The calculated density comes out at 3.65 g/cm³.

---

(2)
Below is an optimized crystal structure of GeSbS2Cl, with properties calculated at the PBE level.

Cell: 4.851 4.851 4.724 Å, 90.00 90.00 90.00°
Atoms (fractional coordinates):
Sb1 0.500 0.500 0.500
Ge1 0.000 0.000 0.000
S1 0.000 0.500 0.000
S2 0.500 0.000 0.000
Cl1 0.000 0.000 0.500

Computed properties:
The value obtained for the magnetization is 0.0 Bohr magnetons per cell. The calculated density comes out at 4.39 g/cm³.

---

Which one sits at the top of the stability order? (2) does.

---

(1)
Below is an optimized crystal structure of TaGeSCl2, with properties calculated at the PBE level.

Cell: 4.850 4.850 4.837 Å, 90.00 90.00 90.00°
Last column: magnetic moment on the atom in μB.
Atoms (fractional coordinates):
Ge1 0.500 0.500 0.500  0.42
Cl1 0.000 0.500 0.000  0.02
Cl2 0.500 0.000 0.000  0.02
S1 0.000 0.000 0.500  -0.02
Ta1 0.000 0.000 0.000  0.17

Computed properties:
The value obtained for the magnetization is 1.2 Bohr magnetons per cell. The calculated density comes out at 5.20 g/cm³.

---

(2)
Below is an optimized crystal structure of TaGeSCl2, with properties calculated at the PBE level.

Cell: 4.822 4.822 5.042 Å, 90.00 90.00 90.00°
Last column: magnetic moment on the atom in μB.
Atoms (fractional coordinates):
Ge1 0.000 0.000 0.000  -0.01
Cl1 0.000 0.500 0.000  0.01
Cl2 0.500 0.000 0.000  0.01
S1 0.000 0.000 0.500  -0.10
Ta1 0.500 0.500 0.500  2.24

Computed properties:
The value obtained for the magnetization is 3.3 Bohr magnetons per cell. The calculated density comes out at 5.05 g/cm³.

---

Which one sits at the top of the stability order? (1) does.

---

(1)
Below is an optimized crystal structure of TaGeS2Cl, with properties calculated at the PBE level.

Cell: 4.734 4.734 4.625 Å, 90.00 90.00 90.00°
Last column: magnetic moment on the atom in μB.
Atoms (fractional coordinates):
Ge1 0.000 0.000 0.000  0.00
Cl1 0.000 0.000 0.500  0.00
S1 0.000 0.500 0.000  -0.09
S2 0.500 0.000 0.000  -0.09
Ta1 0.500 0.500 0.500  1.98

Computed properties:
The value obtained for the magnetization is 2.7 Bohr magnetons per cell. The calculated density comes out at 5.66 g/cm³.

---

(2)
Below is an optimized crystal structure of TaGeS2Cl, with properties calculated at the PBE level.

Cell: 4.824 4.824 4.777 Å, 90.00 90.00 90.00°
Last column: magnetic moment on the atom in μB.
Atoms (fractional coordinates):
Ge1 0.500 0.500 0.500  0.18
Cl1 0.000 0.000 0.500  0.00
S1 0.000 0.500 0.000  -0.01
S2 0.500 0.000 0.000  -0.01
Ta1 0.000 0.000 0.000  0.01

Computed properties:
The value obtained for the magnetization is 0.4 Bohr magnetons per cell. The calculated density comes out at 5.28 g/cm³.

---

Which one sits at the top of the stability order? (2) does.

---

(1)
Below is an optimized crystal structure of TcGeSCl2, with properties calculated at the PBE level.

Cell: 4.943 4.943 4.939 Å, 90.00 90.00 90.00°
Last column: magnetic moment on the atom in μB.
Atoms (fractional coordinates):
S1 0.000 0.000 0.500  0.05
Ge1 0.000 0.000 0.000  0.00
Tc1 0.500 0.500 0.500  3.95
Cl1 0.000 0.500 0.000  0.04
Cl2 0.500 0.000 0.000  0.04

Computed properties:
The value obtained for the magnetization is 4.8 Bohr magnetons per cell. The calculated density comes out at 3.76 g/cm³.

---

(2)
Below is an optimized crystal structure of TcGeSCl2, with properties calculated at the PBE level.

Cell: 4.903 4.903 4.521 Å, 90.00 90.00 90.00°
Last column: magnetic moment on the atom in μB.
Atoms (fractional coordinates):
S1 0.000 0.000 0.500  -0.03
Ge1 0.500 0.500 0.500  0.26
Tc1 0.000 0.000 0.000  0.67
Cl1 0.000 0.500 0.000  0.00
Cl2 0.500 0.000 0.000  0.00

Computed properties:
The value obtained for the magnetization is 1.3 Bohr magnetons per cell. The calculated density comes out at 4.18 g/cm³.

---

Which one sits at the top of the stability order? (2) does.